# PBE-GGA Pm5ScIn3, optimized geometry
data_Pm5ScIn3
_cell_length_a 9.4914
_cell_length_b 9.4914
_cell_length_c 6.7722
_cell_angle_alpha 90.00
_cell_angle_beta 90.00
_cell_angle_gamma 120.00
_space_group_name_H-M_alt 'P 63/m c m'
_space_group_IT_number 193
_space_group_name_Hall '-P 6c 2'
loop_
_atom_site_label
_atom_site_type_symbol
_atom_site_fract_x
_atom_site_fract_y
_atom_site_fract_z
Pm1 Pm 0.0000 0.3257 0.2500
Pm2 Pm 0.3333 0.6667 0.0000
Sc1 Sc 0.0000 0.0000 0.0000
In1 In 0.0000 0.3341 0.7500
# DFT formation energy = -0.33 eV per atom
# size of the total moment = 1.89 μB/cell
# uncorrected energy = -41.28 eV/f.u.

---

# PBE-GGA Pm5ScIn6, optimized geometry
data_Pm5ScIn6
_cell_length_a 17.0113
_cell_length_b 7.5616
_cell_length_c 5.3959
_cell_angle_alpha 90.00
_cell_angle_beta 108.17
_cell_angle_gamma 90.00
_space_group_name_H-M_alt 'C 1 2/m 1'
_space_group_IT_number 12
loop_
_space_group_symop_operation_xyz
'x,y,z'
'-x,-y,-z'
'-x,y,-z'
'x,-y,z'
'x+1/2,y+1/2,z'
'-x+1/2,-y+1/2,-z'
'-x+1/2,y+1/2,-z'
'x+1/2,-y+1/2,z'
loop_
_atom_site_label
_atom_site_type_symbol
_atom_site_fract_x
_atom_site_fract_y
_atom_site_fract_z
Pm1 Pm 0.0000 0.0000 0.0000
Pm2 Pm 0.1627 0.0000 0.6625
Pm3 Pm 0.1755 0.5000 0.6759
Sc1 Sc 0.0000 0.5000 0.0000
In1 In 0.0000 0.2743 0.5000
In2 In 0.1601 0.2629 0.1604
# DFT formation energy = -0.47 eV per atom
# size of the total moment = 0.00 μB/cell
# uncorrected energy = -52.21 eV/f.u.

---

# PBE-GGA Pm3ScIn4, optimized geometry
data_Pm3ScIn4
_cell_length_a 3.7316
_cell_length_b 3.7316
_cell_length_c 15.5129
_cell_angle_alpha 90.00
_cell_angle_beta 90.00
_cell_angle_gamma 90.00
_space_group_name_H-M_alt 'P 4/m m m'
_space_group_IT_number 123
_space_group_name_Hall '-P 4 2'
loop_
_atom_site_label
_atom_site_type_symbol
_atom_site_fract_x
_atom_site_fract_y
_atom_site_fract_z
Pm1 Pm 0.0000 0.0000 0.0000
Pm2 Pm 0.0000 0.0000 0.2619
Sc1 Sc 0.0000 0.0000 0.5000
In1 In 0.5000 0.5000 0.1312
In2 In 0.5000 0.5000 0.3938
# DFT formation energy = -0.48 eV per atom
# size of the total moment = 0.00 μB/cell
# uncorrected energy = -35.35 eV/f.u.

---

# PBE-GGA PmSc3In4, optimized geometry
data_PmSc3In4
_cell_length_a 10.3798
_cell_length_b 6.8599
_cell_length_c 5.3948
_cell_angle_alpha 90.00
_cell_angle_beta 90.00
_cell_angle_gamma 90.00
_space_group_name_H-M_alt 'P m m a'
_space_group_IT_number 51
loop_
_space_group_symop_operation_xyz
'x,y,z'
'-x,-y,-z'
'-x+1/2,-y,z'
'x+1/2,y,-z'
'x+1/2,-y,-z'
'-x+1/2,y,z'
'-x,y,-z'
'x,-y,z'
loop_
_atom_site_label
_atom_site_type_symbol
_atom_site_fract_x
_atom_site_fract_y
_atom_site_fract_z
Pm1 Pm 0.0000 0.0000 0.0000
Sc1 Sc 0.0000 0.5000 0.0000
Sc2 Sc 0.2500 0.0000 0.4085
Sc3 Sc 0.2500 0.5000 0.3799
In1 In 0.0000 0.2658 0.5000
In2 In 0.2500 0.2654 0.8842
# DFT formation energy = -0.42 eV per atom
# size of the total moment = 0.00 μB/cell
# uncorrected energy = -38.09 eV/f.u.

---

# PBE-GGA Pm3ScIn2, optimized geometry
data_Pm3ScIn2
_cell_length_a 4.9472
_cell_length_b 15.3650
_cell_length_c 4.5127
_cell_angle_alpha 90.00
_cell_angle_beta 90.00
_cell_angle_gamma 90.00
_space_group_name_H-M_alt 'C m m m'
_space_group_IT_number 65
_space_group_name_Hall '-C 2 2'
loop_
_atom_site_label
_atom_site_type_symbol
_atom_site_fract_x
_atom_site_fract_y
_atom_site_fract_z
Pm1 Pm 0.0000 0.0000 0.0000
Pm2 Pm 0.0000 0.3282 0.0000
Sc1 Sc 0.0000 0.5000 0.5000
In1 In 0.0000 0.1527 0.5000
# DFT formation energy = -0.32 eV per atom
# size of the total moment = 0.00 μB/cell
# uncorrected energy = -28.01 eV/f.u.

---

# PBE-GGA Pm4ScIn2, optimized geometry
data_Pm4ScIn2
_cell_length_a 8.1918
_cell_length_b 8.2099
_cell_length_c 13.1701
_cell_angle_alpha 90.00
_cell_angle_beta 90.00
_cell_angle_gamma 90.00
_space_group_name_H-M_alt 'F m m m'
_space_group_IT_number 69
_space_group_name_Hall '-F 2 2'
loop_
_atom_site_label
_atom_site_type_symbol
_atom_site_fract_x
_atom_site_fract_y
_atom_site_fract_z
Pm1 Pm 0.2500 0.2500 0.0000
Pm2 Pm 0.2500 0.2500 0.2500
Sc1 Sc 0.0000 0.0000 0.0000
In1 In 0.0000 0.0000 0.3783
# DFT formation energy = 0.10 eV per atom
# size of the total moment = 0.00 μB/cell
# uncorrected energy = -30.10 eV/f.u.

---

# PBE-GGA PmScIn2, optimized geometry
data_PmScIn2
_cell_length_a 3.6826
_cell_length_b 3.6826
_cell_length_c 7.4941
_cell_angle_alpha 90.00
_cell_angle_beta 90.00
_cell_angle_gamma 90.00
_space_group_name_H-M_alt 'P 4/m m m'
_space_group_IT_number 123
_space_group_name_Hall '-P 4 2'
loop_
_atom_site_label
_atom_site_type_symbol
_atom_site_fract_x
_atom_site_fract_y
_atom_site_fract_z
Pm1 Pm 0.0000 0.0000 0.0000
Sc1 Sc 0.0000 0.0000 0.5000
In1 In 0.5000 0.5000 0.2759
# DFT formation energy = -0.46 eV per atom
# size of the total moment = 0.00 μB/cell
# uncorrected energy = -18.39 eV/f.u.

---

# PBE-GGA PmSc4In2, optimized geometry
data_PmSc4In2
_cell_length_a 4.1379
_cell_length_b 4.1379
_cell_length_c 21.4533
_cell_angle_alpha 90.00
_cell_angle_beta 90.00
_cell_angle_gamma 90.00
_space_group_name_H-M_alt 'I 4/m m m'
_space_group_IT_number 139
_space_group_name_Hall '-I 4 2'
loop_
_atom_site_label
_atom_site_type_symbol
_atom_site_fract_x
_atom_site_fract_y
_atom_site_fract_z
Pm1 Pm 0.0000 0.0000 0.0000
Sc1 Sc 0.0000 0.0000 0.1389
Sc2 Sc 0.0000 0.5000 0.2500
In1 In 0.0000 0.0000 0.3995
# DFT formation energy = 0.04 eV per atom
# size of the total moment = 1.79 μB/cell
# uncorrected energy = -35.25 eV/f.u.

---

# PBE-GGA PmSc12In3, optimized geometry
data_PmSc12In3
_cell_length_a 4.5520
_cell_length_b 4.5520
_cell_length_c 18.5174
_cell_angle_alpha 90.00
_cell_angle_beta 90.00
_cell_angle_gamma 90.00
_space_group_name_H-M_alt 'P 4/m m m'
_space_group_IT_number 123
_space_group_name_Hall '-P 4 2'
loop_
_atom_site_label
_atom_site_type_symbol
_atom_site_fract_x
_atom_site_fract_y
_atom_site_fract_z
Pm1 Pm 0.0000 0.0000 0.0000
Sc1 Sc 0.0000 0.5000 0.1340
Sc2 Sc 0.0000 0.5000 0.3782
Sc3 Sc 0.5000 0.5000 0.0000
Sc4 Sc 0.5000 0.5000 0.2582
Sc5 Sc 0.5000 0.5000 0.5000
In1 In 0.0000 0.0000 0.2568
In2 In 0.0000 0.0000 0.5000
# DFT formation energy = -0.18 eV per atom
# size of the total moment = 3.66 μB/cell
# uncorrected energy = -91.88 eV/f.u.

---

# PBE-GGA Pm2ScIn4, optimized geometry
data_Pm2ScIn4
_cell_length_a 5.3178
_cell_length_b 5.3178
_cell_length_c 16.0780
_cell_angle_alpha 90.00
_cell_angle_beta 90.00
_cell_angle_gamma 90.00
_space_group_name_H-M_alt 'I 4/m m m'
_space_group_IT_number 139
_space_group_name_Hall '-I 4 2'
loop_
_atom_site_label
_atom_site_type_symbol
_atom_site_fract_x
_atom_site_fract_y
_atom_site_fract_z
Pm1 Pm 0.0000 0.0000 0.1218
Sc1 Sc 0.0000 0.0000 0.5000
In1 In 0.0000 0.0000 0.3206
In2 In 0.0000 0.5000 0.0000
# DFT formation energy = 0.03 eV per atom
# size of the total moment = 0.91 μB/cell
# uncorrected energy = -26.60 eV/f.u.

---

# PBE-GGA PmSc2In, optimized geometry
data_PmSc2In
_cell_length_a 7.3944
_cell_length_b 7.3944
_cell_length_c 7.3944
_cell_angle_alpha 90.00
_cell_angle_beta 90.00
_cell_angle_gamma 90.00
_space_group_name_H-M_alt 'F m -3 m'
_space_group_IT_number 225
_space_group_name_Hall '-F 4 2 3'
loop_
_atom_site_label
_atom_site_type_symbol
_atom_site_fract_x
_atom_site_fract_y
_atom_site_fract_z
Pm1 Pm 0.0000 0.0000 0.0000
Sc1 Sc 0.2500 0.2500 0.2500
In1 In 0.0000 0.0000 0.5000
# DFT formation energy = -0.12 eV per atom
# size of the total moment = 9.07 μB/cell
# uncorrected energy = -20.62 eV/f.u.

---

# PBE-GGA Pm4Sc3In4, optimized geometry
data_Pm4Sc3In4
_cell_length_a 3.3797
_cell_length_b 9.3876
_cell_length_c 19.1657
_cell_angle_alpha 90.00
_cell_angle_beta 90.00
_cell_angle_gamma 90.00
_space_group_name_H-M_alt 'I m m m'
_space_group_IT_number 71
_space_group_name_Hall '-I 2 2'
loop_
_atom_site_label
_atom_site_type_symbol
_atom_site_fract_x
_atom_site_fract_y
_atom_site_fract_z
Pm1 Pm 0.0000 0.1737 0.1592
Sc1 Sc 0.0000 0.0000 0.4112
Sc2 Sc 0.0000 0.5000 0.5000
In1 In 0.0000 0.2799 0.0000
In2 In 0.0000 0.5000 0.2190
# DFT formation energy = -0.28 eV per atom
# size of the total moment = 0.00 μB/cell
# uncorrected energy = -52.04 eV/f.u.